Record 1
POs2C: relaxed, PBE.

Values from the calculation:
crystal system: tetragonal

Unit cell a=4.992 b=4.992 c=5.926 alpha=65.09 beta=65.09 gamma=90.00
Fractional coordinates of all 8 atoms:
P  0.750  0.250  0.500
P  0.000  0.000  0.000
Os  0.875  0.826  0.750
Os  0.174  0.625  0.250
Os  0.375  0.424  0.750
Os  0.576  0.125  0.250
C  0.500  0.500  0.000
C  0.250  0.750  0.500


Record 2
KCa2La: relaxed, PBE.

Values from the calculation:
crystal system: tetragonal

Unit cell a=7.086 b=7.086 c=7.086 alpha=134.05 beta=134.05 gamma=67.00
Fractional coordinates of all 4 atoms:
K  0.500  0.500  0.000
Ca  0.000  0.000  0.000
Ca  0.250  0.750  0.500
La  0.750  0.250  0.500


Record 3
KLiC2: relaxed, PBE.

Values from the calculation:
crystal system: tetragonal

Unit cell a=3.663 b=3.663 c=8.250 alpha=77.18 beta=77.18 gamma=90.00
Fractional coordinates of all 8 atoms:
C  0.875  0.625  0.750
C  0.375  0.125  0.250
C  0.375  0.625  0.750
C  0.375  0.625  0.250
K  0.000  0.000  0.000
K  0.750  0.250  0.500
Li  0.500  0.500  0.000
Li  0.250  0.750  0.500


Record 4
Ac2CdPb2: relaxed, PBE.

Values from the calculation:
crystal system: tetragonal

Unit cell a=8.323 b=8.323 c=9.962 alpha=90.00 beta=90.00 gamma=90.00
Fractional coordinates of all 20 atoms:
Pb  0.869  0.631  0.250
Pb  0.369  0.869  0.250
Pb  0.869  0.631  0.750
Pb  0.631  0.131  0.250
Pb  0.631  0.131  0.750
Pb  0.131  0.369  0.750
Pb  0.131  0.369  0.250
Pb  0.369  0.869  0.750
Ac  0.325  0.175  0.000
Ac  0.325  0.175  0.500
Ac  0.825  0.325  0.000
Ac  0.175  0.675  0.000
Ac  0.675  0.825  0.000
Ac  0.675  0.825  0.500
Ac  0.175  0.675  0.500
Ac  0.825  0.325  0.500
Cd  0.000  0.000  0.748
Cd  0.500  0.500  0.752
Cd  0.000  0.000  0.252
Cd  0.500  0.500  0.248


Record 5
Ce2Ho3ErP6: relaxed, PBE.

Values from the calculation:
crystal system: monoclinic

Unit cell a=6.954 b=6.954 c=6.948 alpha=99.60 beta=99.60 gamma=120.00
Fractional coordinates of all 12 atoms:
Er  0.000  0.000  0.000
P  0.916  0.585  0.749
P  0.084  0.415  0.251
P  0.415  0.084  0.251
P  0.247  0.247  0.747
P  0.753  0.753  0.253
P  0.585  0.916  0.749
Ho  0.833  0.167  0.500
Ho  0.500  0.500  0.500
Ho  0.167  0.833  0.500
Ce  0.334  0.666  0.000
Ce  0.666  0.334  0.000


Record 6
Mg2ZrCd: relaxed, PBE.

Values from the calculation:
crystal system: monoclinic

Unit cell a=4.821 b=3.071 c=6.010 alpha=79.74 beta=90.00 gamma=90.00
Fractional coordinates of all 4 atoms:
Cd  0.500  0.750  0.750
Zr  0.500  0.250  0.250
Mg  0.000  0.597  0.500
Mg  0.000  0.903  0.000


| no. | formation energy (eV/f.u.) | magnetization (μB per formula unit) | total DFT energy (no corrections) (eV/atom) |
| --- | --- | --- | --- |
| 1 | 1.50 | 0.000 | -8.90 |
| 2 | 1.34 | 0.010 | -2.17 |
| 3 | 6.21 | 0.000 | -3.81 |
| 4 | -2.26 | 0.000 | -3.76 |
| 5 | -18.93 | 0.798 | -6.80 |
| 6 | -0.03 | 0.000 | -3.17 |